DFT (PBE+U) results for a relaxed structure of MnCoF5.

```
MnCoF5
1.0
0.387 0.194 3.662
4.380 -2.807 1.543
3.700 3.762 1.266
F Co Mn
5 1 1
Direct
0.255 0.745 0.745 F
0.000 0.688 0.312 F
0.500 0.000 0.000 F
0.000 0.312 0.688 F
0.745 0.255 0.255 F
0.000 0.000 0.000 Co
0.500 0.500 0.500 Mn
```

## Properties
The calculation puts the total energy at -37.40 eV/f.u. The value obtained for the volume is 94.8 Å³/f.u. Its space group is No. 71.